A geometry-optimized YMg3Pa2N6 structure. Source: the Alexandria database, functional GGA-PBE.

```
YMg3Pa2N6
1.0
7.1644 -1.7336 0.0000
7.1644 1.7336 0.0000
-1.1289 0.0000 6.5397
Y Mg Pa N
1 3 2 6
direct
0.0000 0.0000 0.0000 Y
0.0000 0.0000 0.5000 Mg
0.3360 0.3360 0.1695 Mg
0.6640 0.6640 0.8305 Mg
0.3358 0.3358 0.6722 Pa
0.6642 0.6642 0.3278 Pa
0.1684 0.1684 0.0929 N
0.1681 0.1681 0.5764 N
0.4954 0.4954 0.7446 N
0.5046 0.5046 0.2554 N
0.8319 0.8319 0.4236 N
0.8316 0.8316 0.9071 N
```

Energy relative to the elements, uncorrected ... -1242 meV/atom
Space group ... C2/m (12)
Magnetic moment ... 0.9 μB/f.u.
Theoretical density ... 7.24 g/cm³



A geometry-optimized MgPa2ZnN5 structure. Source: the Alexandria database, functional GGA-PBE.

```
MgPa2ZnN5
1.0
1.7043 -6.6521 0.0000
1.7043 6.6521 0.0000
0.0000 0.0000 9.8251
Mg Pa Zn N
2 4 2 10
direct
0.2036 0.7964 0.5000 Mg
0.7964 0.2036 0.0000 Mg
0.1231 0.8769 0.1945 Pa
0.1329 0.8671 0.7914 Pa
0.8671 0.1329 0.2914 Pa
0.8769 0.1231 0.6945 Pa
0.4822 0.5178 0.9909 Zn
0.5178 0.4822 0.4909 Zn
0.0527 0.9473 0.5814 N
0.2927 0.7073 0.1746 N
0.3062 0.6938 0.8428 N
0.3606 0.6394 0.5283 N
0.4941 0.5059 0.2892 N
0.5059 0.4941 0.7892 N
0.6394 0.3606 0.0283 N
0.6938 0.3062 0.3428 N
0.7073 0.2927 0.6746 N
0.9473 0.0527 0.0814 N
```

Energy relative to the elements, uncorrected ... -906 meV/atom
Space group ... Cmc2_1 (36)
Magnetic moment ... 0.0 μB/f.u.
Theoretical density ... 9.27 g/cm³



Number 1: electronic total energy -95.09 eV for the cell shown. Number 2: electronic total energy -143.28 eV for the cell shown.